*w*
Material: AcAlH
Method: DFT, PBE
State: optimized geometry

Lattice parameters (Å, degrees): 7.782 3.497 6.673 105.19 125.67 90.00
Atoms (fractional coordinates):
H: 0.587 0.087 0.173
H: 0.413 0.913 0.827
Ac: 0.733 0.500 0.000
Ac: 0.267 0.500 0.000
Al: 0.757 0.257 0.514
Al: 0.243 0.743 0.486

## Properties
* DOS at the Fermi energy: 0.78 states/eV per atom
* crystal system: orthorhombic

=====

*x*
Material: AcAlH
Method: DFT, PBE
State: optimized geometry

Lattice parameters (Å, degrees): 3.743 3.743 5.900 108.50 108.50 90.00
Atoms (fractional coordinates):
Ac: 0.597 0.597 0.193
H: 0.113 0.113 0.225
Al: 0.291 0.291 0.581

## Properties
* DOS at the Fermi energy: 0.88 states/eV per atom
* crystal system: tetragonal

=====

Compare the structures above. Which one is the least stable? *w* is.